A geometry-optimized TlPCl structure. Source: Alexandria, functional PBE-GGA.

```
TlPCl
1.0
4.761 0.000 0.000
2.380 4.123 0.000
2.380 1.374 3.887
Cl P Tl
1 1 1
Direct
0.500 0.500 0.500
0.250 0.250 0.250
0.000 0.000 0.000
```

- Spin magnetization: 0.000 μB per atom
- ΔE_f (raw): 0.30 eV/atom
- Crystal system: cubic
- Symmetry: No. 216

A geometry-optimized TlPCl2 structure. Source: Alexandria, functional PBE-GGA.

```
TlPCl2
1.0
-3.819 -3.066 8.302
-0.540 -2.267 9.353
-2.999 0.265 9.157
P Tl Cl
1 1 2
Direct
0.000 0.000 0.000
0.500 0.500 0.500
0.919 0.919 0.919
0.081 0.081 0.081
```

- Spin magnetization: 0.000 μB per atom
- ΔE_f (raw): -0.12 eV/atom
- Crystal system: trigonal
- Symmetry: No. 166

A geometry-optimized Tl4PCl structure. Source: Alexandria, functional PBE-GGA.

```
Tl4PCl
1.0
5.805 1.150 2.335
0.892 4.791 4.089
1.271 -1.228 6.111
Tl P Cl
4 1 1
Direct
0.876 0.375 0.375
0.375 0.375 0.876
0.375 0.876 0.375
0.375 0.375 0.375
0.000 0.000 0.000
0.750 0.750 0.750
```

- Spin magnetization: 0.087 μB per atom
- ΔE_f (raw): 0.23 eV/atom
- Crystal system: cubic
- Symmetry: No. 216

A geometry-optimized TlP2Cl structure. Source: Alexandria, functional PBE-GGA.

```
TlP2Cl
1.0
-0.971 2.606 2.085
-1.935 -0.161 -2.883
-4.966 -4.727 3.597
Cl P Tl
1 2 1
Direct
0.500 0.500 0.750
0.000 0.000 0.008
0.000 0.000 0.492
0.500 0.500 0.250
```

- Spin magnetization: 0.000 μB per atom
- ΔE_f (raw): 0.72 eV/atom
- Crystal system: orthorhombic
- Symmetry: No. 65

A geometry-optimized TlP4Cl structure. Source: Alexandria, functional PBE-GGA.

```
TlP4Cl
1.0
-2.437 -4.809 -2.826
-4.310 0.812 -4.221
1.251 -1.039 -5.865
Tl P Cl
1 4 1
Direct
0.750 0.750 0.750
0.979 0.340 0.340
0.340 0.340 0.979
0.340 0.979 0.340
0.340 0.340 0.340
0.000 0.000 0.000
```

- Spin magnetization: 0.000 μB per atom
- ΔE_f (raw): -0.13 eV/atom
- Crystal system: cubic
- Symmetry: No. 216

A geometry-optimized TlPCl2 structure. Source: Alexandria, functional PBE-GGA.

```
TlPCl2
1.0
-0.399 -3.220 -1.440
2.033 -1.394 2.555
-6.966 -1.298 4.834
Cl P Tl
2 1 1
Direct
0.000 0.000 0.963
0.500 0.500 0.346
0.000 0.000 0.417
0.500 0.500 0.775
```

- Spin magnetization: 0.000 μB per atom
- ΔE_f (raw): 0.03 eV/atom
- Crystal system: tetragonal
- Symmetry: No. 99

A geometry-optimized TlPCl structure. Source: Alexandria, functional PBE-GGA.

```
TlPCl
1.0
-0.744 5.930 -1.658
0.901 2.094 -5.768
-2.889 -4.541 3.082
Cl P Tl
1 1 1
Direct
0.035 0.035 0.000
0.231 0.231 0.000
0.734 0.734 0.000
```

- Spin magnetization: 0.000 μB per atom
- ΔE_f (raw): -0.02 eV/atom
- Crystal system: tetragonal
- Symmetry: No. 107

A geometry-optimized TlP2Cl structure. Source: Alexandria, functional PBE-GGA.

```
TlP2Cl
1.0
-2.087 4.798 -7.408
0.051 2.665 -8.670
-3.094 1.823 -8.329
Cl P Tl
1 2 1
Direct
0.250 0.250 0.250
0.996 0.996 0.996
0.504 0.504 0.504
0.750 0.750 0.750
```

- Spin magnetization: 0.000 μB per atom
- ΔE_f (raw): 0.79 eV/atom
- Crystal system: trigonal
- Symmetry: No. 166

A geometry-optimized TlPCl2 structure. Source: Alexandria, functional PBE-GGA.

```
TlPCl2
1.0
5.692 0.000 0.000
0.000 5.692 0.000
2.846 2.846 7.928
P Tl Cl
2 2 4
Direct
0.500 0.500 0.000
0.250 0.750 0.500
0.000 0.000 0.000
0.750 0.250 0.500
0.515 0.125 0.250
0.235 0.625 0.250
0.375 0.485 0.750
0.875 0.765 0.750
```

- Spin magnetization: 0.000 μB per atom
- ΔE_f (raw): 0.00 eV/atom
- Crystal system: tetragonal
- Symmetry: No. 122

A geometry-optimized TlP3Cl structure. Source: Alexandria, functional PBE-GGA.

```
TlP3Cl
1.0
-0.014 -5.243 0.609
3.966 -0.412 -3.459
3.483 0.449 3.940
P Tl Cl
3 1 1
Direct
0.000 0.500 0.000
0.000 0.000 0.500
0.500 0.000 0.000
0.000 0.000 0.000
0.500 0.500 0.500
```

- Spin magnetization: 0.713 μB per atom
- ΔE_f (raw): 1.51 eV/atom
- Crystal system: cubic
- Symmetry: No. 221

A geometry-optimized TlP2Cl structure. Source: Alexandria, functional PBE-GGA.

```
TlP2Cl
1.0
-0.781 -2.660 -4.263
-2.675 -3.432 2.632
-2.661 1.656 -0.546
Cl P Tl
1 2 1
Direct
0.000 0.500 0.500
0.000 0.000 0.000
0.500 0.500 0.000
0.500 0.000 0.500
```

- Spin magnetization: 0.000 μB per atom
- ΔE_f (raw): 0.79 eV/atom
- Crystal system: tetragonal
- Symmetry: No. 123

A geometry-optimized TlP2Cl structure. Source: Alexandria, functional PBE-GGA.

```
TlP2Cl
1.0
0.000 3.419 3.419
3.419 0.000 3.419
3.419 3.419 0.000
P Tl Cl
2 1 1
Direct
0.250 0.250 0.250
0.750 0.750 0.750
0.500 0.500 0.500
0.000 0.000 0.000
```

- Spin magnetization: 0.000 μB per atom
- ΔE_f (raw): 0.75 eV/atom
- Crystal system: cubic
- Symmetry: No. 225

A geometry-optimized TlP2Cl structure. Source: Alexandria, functional PBE-GGA.

```
TlP2Cl
1.0
-1.108 0.997 2.541
5.330 -1.793 3.028
2.389 5.330 -1.048
Cl P Tl
1 2 1
Direct
0.500 0.500 0.750
0.000 0.000 0.079
0.000 0.000 0.421
0.500 0.500 0.250
```

- Spin magnetization: 0.000 μB per atom
- ΔE_f (raw): 0.23 eV/atom
- Crystal system: orthorhombic
- Symmetry: No. 47

A geometry-optimized TlPCl6 structure. Source: Alexandria, functional PBE-GGA.

```
TlPCl6
1.0
6.715 0.000 0.000
3.357 5.815 0.000
3.357 1.938 5.988
Tl P Cl
1 1 6
Direct
0.500 0.500 0.500
0.000 0.000 0.000
0.917 0.917 0.791
0.374 0.917 0.791
0.083 0.626 0.209
0.626 0.083 0.209
0.083 0.083 0.209
0.917 0.374 0.791
```

- Spin magnetization: 0.000 μB per atom
- ΔE_f (raw): -0.62 eV/atom
- Crystal system: trigonal
- Symmetry: No. 166

A geometry-optimized TlPCl structure. Source: Alexandria, functional PBE-GGA.

```
TlPCl
1.0
-3.631 -0.824 2.446
0.678 -2.224 -3.799
2.335 -3.306 2.352
Cl P Tl
1 1 1
Direct
0.000 0.000 0.001
0.667 0.333 0.449
0.333 0.667 0.549
```

- Spin magnetization: 0.289 μB per atom
- ΔE_f (raw): 0.20 eV/atom
- Crystal system: trigonal
- Symmetry: No. 156

A geometry-optimized TlP2Cl structure. Source: Alexandria, functional PBE-GGA.

```
TlP2Cl
1.0
-0.948 0.087 3.682
0.955 -3.667 0.333
6.505 1.843 1.631
Cl P Tl
1 2 1
Direct
0.000 0.500 0.500
0.000 0.000 0.000
0.500 0.500 0.000
0.500 0.000 0.500
```

- Spin magnetization: 0.001 μB per atom
- ΔE_f (raw): 0.39 eV/atom
- Crystal system: tetragonal
- Symmetry: No. 123

A geometry-optimized TlPCl2 structure. Source: Alexandria, functional PBE-GGA.

```
TlPCl2
1.0
-1.952 5.510 -5.654
-1.946 0.693 -7.866
-0.609 -3.219 7.444
Cl P Tl
2 1 1
Direct
0.995 0.995 0.000
0.721 0.221 0.500
0.473 0.473 0.000
0.311 0.811 0.500
```

- Spin magnetization: 0.000 μB per atom
- ΔE_f (raw): 0.01 eV/atom
- Crystal system: orthorhombic
- Symmetry: No. 44

A geometry-optimized TlPCl2 structure. Source: Alexandria, functional PBE-GGA.

```
TlPCl2
1.0
5.070 0.000 0.000
2.535 4.391 0.000
2.535 1.464 4.140
Cl P Tl
2 1 1
Direct
0.000 0.000 0.000
0.750 0.750 0.750
0.500 0.500 0.500
0.250 0.250 0.250
```

- Spin magnetization: 0.497 μB per atom
- ΔE_f (raw): 0.32 eV/atom
- Crystal system: cubic
- Symmetry: No. 216

A geometry-optimized TlPCl2 structure. Source: Alexandria, functional PBE-GGA.

```
TlPCl2
1.0
4.682 0.000 0.000
0.000 5.568 0.051
0.000 3.616 4.663
Cl P Tl
2 1 1
Direct
0.000 0.050 0.931
0.500 0.291 0.306
0.000 0.511 0.576
0.500 0.648 0.687
```

- Spin magnetization: 0.000 μB per atom
- ΔE_f (raw): -0.29 eV/atom
- Crystal system: monoclinic
- Symmetry: No. 6

A geometry-optimized TlPCl structure. Source: Alexandria, functional PBE-GGA.

```
TlPCl
1.0
-2.546 3.453 -2.240
-0.596 -0.162 -4.801
-4.347 -1.024 -1.866
Cl P Tl
1 1 1
Direct
0.000 0.000 0.000
0.500 0.500 0.500
0.250 0.250 0.250
```

- Spin magnetization: 0.225 μB per atom
- ΔE_f (raw): 0.41 eV/atom
- Crystal system: cubic
- Symmetry: No. 216